First-principles (PBE) data for a geometry-optimized YMnTl2 structure, as listed in Alexandria.

The value obtained for the energy of formation from the pure elements is 0.0406 eV/atom.

It has space group Cmmm (No. 65), with a = 6.5993 Å, b = 6.6130 Å, c = 4.4200 Å, α = 90.00°, β = 90.00° and γ = 90.00°. The distinct sites, in fractional coordinates, are Y at (0.0000, 0.0000, 0.0000), Mn at (0.0000, 0.5000, 0.0000) and Tl at (0.2500, 0.2500, 0.5000).



First-principles (PBE) data for a geometry-optimized LaIn2Os structure, as listed in Alexandria.

The value obtained for the energy of formation from the pure elements is 0.3117 eV/atom.

It has space group R-3m (No. 166, hexagonal axes), with a = 3.2836 Å, b = 3.2836 Å, c = 29.7707 Å, α = 90.00°, β = 90.00° and γ = 120.00°. The distinct sites, in fractional coordinates, are La at (0.0000, 0.0000, 0.0000), In at (0.0000, 0.0000, 0.2356) and Os at (0.0000, 0.0000, 0.5000).



First-principles (PBE) data for a geometry-optimized TcNi2Os structure, as listed in Alexandria.

The value obtained for the energy of formation from the pure elements is 0.1141 eV/atom.

It has space group I4/mmm (No. 139), with a = 3.6709 Å, b = 3.6709 Å, c = 7.5396 Å, α = 90.00°, β = 90.00° and γ = 90.00°. The distinct sites, in fractional coordinates, are Tc at (0.0000, 0.0000, 0.0000), Ni at (0.0000, 0.5000, 0.2500) and Os at (0.0000, 0.0000, 0.5000).



First-principles (PBE) data for a geometry-optimized LaPmHoTm3 structure, as listed in Alexandria.

The value obtained for the energy of formation from the pure elements is 0.1079 eV/atom.

It has space group Cmcm (No. 63), with a = 5.8079 Å, b = 11.5450 Å, c = 11.6217 Å, α = 90.00°, β = 90.00° and γ = 90.00°. The distinct sites, in fractional coordinates, are La at (0.0000, 0.0034, 0.2500), Pm at (0.0000, 0.5000, 0.0000), Ho at (0.0000, 0.3247, 0.2500), Tm at (0.0000, 0.1756, 0.5032) and Tm at (0.0000, 0.3292, 0.7500).



First-principles (PBE) data for a geometry-optimized TmNbN structure, as listed in Alexandria.

The value obtained for the uncorrected formation energy is -560 meV per atom.

It has space group C2/m (No. 12), with a = 11.1261 Å, b = 3.0814 Å, c = 5.6192 Å, α = 90.00°, β = 100.36° and γ = 90.00°. The distinct sites, in fractional coordinates, are Tm at (0.0000, 0.0000, 0.0000), Tm at (0.0000, 0.0000, 0.5000), Nb at (0.2417, 0.5000, 0.2122) and N at (0.1221, 0.5000, 0.8237).



First-principles (PBE) data for a geometry-optimized Ba2AlCo structure, as listed in Alexandria.

The value obtained for the energy of formation from the pure elements is 0.3893 eV/atom.

It has space group P4/mmm (No. 123), with a = 4.0110 Å, b = 4.0110 Å, c = 7.9028 Å, α = 90.00°, β = 90.00° and γ = 90.00°. The distinct sites, in fractional coordinates, are Ba at (0.0000, 0.0000, 0.2325), Al at (0.5000, 0.5000, 0.5000) and Co at (0.5000, 0.5000, 0.0000).



First-principles (PBE) data for a geometry-optimized CsBaVBr6 structure, as listed in Alexandria.

The value obtained for the uncorrected formation energy is -1479 meV per atom.

It has space group P312 (No. 149), with a = 7.7418 Å, b = 7.7418 Å, c = 7.6777 Å, α = 90.00°, β = 90.00° and γ = 120.00°. The distinct sites, in fractional coordinates, are Cs at (0.0000, 0.0000, 0.0000), Ba at (0.3333, 0.6667, 0.5000), V at (0.6667, 0.3333, 0.5000) and Br at (0.4001, 0.0633, 0.6986).



First-principles (PBE) data for a geometry-optimized Bi2AsPd6 structure, as listed in Alexandria.

The value obtained for the energy of formation from the pure elements is -0.2317 eV/atom.

It has space group C2/m (No. 12), with a = 12.8088 Å, b = 7.4658 Å, c = 3.9361 Å, α = 90.00°, β = 107.86° and γ = 90.00°. The distinct sites, in fractional coordinates, are Bi at (0.1494, 0.0000, 0.1480), As at (0.0000, 0.5000, 0.5000), Pd at (0.0000, 0.2965, 0.0000) and Pd at (0.1648, 0.2835, 0.6645).



First-principles (PBE) data for a geometry-optimized In2CuTe structure, as listed in Alexandria.

The value obtained for the uncorrected formation energy is 87 meV per atom.

It has space group Imm2 (No. 44), with a = 4.1401 Å, b = 6.4367 Å, c = 8.3635 Å, α = 90.00°, β = 90.00° and γ = 90.00°. The distinct sites, in fractional coordinates, are In at (0.0000, 0.0000, 0.0000), In at (0.0000, 0.5000, 0.2197), Cu at (0.0000, 0.0000, 0.5131) and Te at (0.0000, 0.5000, 0.8308).



First-principles (PBE) data for a geometry-optimized Ru2RhW structure, as listed in Alexandria.

The value obtained for the energy of formation from the pure elements is 0.0162 eV/atom.

It has space group P4mm (No. 99), with a = 2.7384 Å, b = 2.7384 Å, c = 7.7782 Å, α = 90.00°, β = 90.00° and γ = 90.00°. The distinct sites, in fractional coordinates, are Ru at (0.0000, 0.0000, 0.0000), Ru at (0.5000, 0.5000, 0.2304), Rh at (0.5000, 0.5000, 0.7402) and W at (0.0000, 0.0000, 0.4947).



First-principles (PBE) data for a geometry-optimized PuMg2Tl3 structure, as listed in Alexandria.

The value obtained for the energy of formation from the pure elements is -0.0387 eV/atom.

It has space group P4/mmm (No. 123), with a = 3.6692 Å, b = 3.6692 Å, c = 11.3131 Å, α = 90.00°, β = 90.00° and γ = 90.00°. The distinct sites, in fractional coordinates, are Pu at (0.0000, 0.0000, 0.0000), Mg at (0.0000, 0.0000, 0.3421), Tl at (0.5000, 0.5000, 0.1849) and Tl at (0.5000, 0.5000, 0.5000).



First-principles (PBE) data for a geometry-optimized CaNb3Au structure, as listed in Alexandria.

The value obtained for the energy of formation from the pure elements is 1.2803 eV/atom.

It has space group Pm-3m (No. 221), with a = 5.0830 Å, b = 5.0830 Å, c = 5.0830 Å, α = 90.00°, β = 90.00° and γ = 90.00°. The distinct sites, in fractional coordinates, are Ca at (0.0000, 0.0000, 0.0000), Nb at (0.0000, 0.5000, 0.5000) and Au at (0.5000, 0.5000, 0.5000).



First-principles (PBE) data for a geometry-optimized Cr3P5 structure, as listed in Alexandria.

The value obtained for the energy of formation from the pure elements is 0.0417 eV/atom.

It has space group Cmmm (No. 65), with a = 6.6285 Å, b = 7.0491 Å, c = 4.3200 Å, α = 90.00°, β = 90.00° and γ = 90.00°. The distinct sites, in fractional coordinates, are Cr at (0.0000, 0.0000, 0.0000), Cr at (0.0000, 0.2935, 0.5000), P at (0.0000, 0.5000, 0.0000), P at (0.1874, 0.0000, 0.5000) and P at (0.2500, 0.2500, 0.0000).



First-principles (PBE) data for a geometry-optimized SnTe3S structure, as listed in Alexandria.

The value obtained for the uncorrected formation energy is 300 meV per atom.

It has space group Pm-3m (No. 221), with a = 5.3099 Å, b = 5.3099 Å, c = 5.3099 Å, α = 90.00°, β = 90.00° and γ = 90.00°. The distinct sites, in fractional coordinates, are Sn at (0.0000, 0.0000, 0.0000), Te at (0.0000, 0.5000, 0.5000) and S at (0.5000, 0.5000, 0.5000).



First-principles (PBE) data for a geometry-optimized Ba5NCl4 structure, as listed in Alexandria.

The value obtained for the uncorrected formation energy is -1555 meV per atom.

It has space group I4 (No. 79), with a = 9.9616 Å, b = 9.9616 Å, c = 6.3258 Å, α = 90.00°, β = 90.00° and γ = 90.00°. The distinct sites, in fractional coordinates, are Ba at (0.0000, 0.0000, 0.0000), Ba at (0.0916, 0.7401, 0.5134), N at (0.0000, 0.0000, 0.5341) and Cl at (0.0913, 0.6920, 0.0120).



First-principles (PBE) data for a geometry-optimized Fe2TcSb structure, as listed in Alexandria.

The value obtained for the uncorrected formation energy is 269 meV per atom.

It has space group Pmm2 (No. 25), with a = 3.0286 Å, b = 4.2863 Å, c = 4.5175 Å, α = 90.00°, β = 90.00° and γ = 90.00°. The distinct sites, in fractional coordinates, are Fe at (0.0000, 0.0000, 0.0000), Fe at (0.0000, 0.5000, 0.2946), Tc at (0.5000, 0.0000, 0.4590) and Sb at (0.5000, 0.5000, 0.8217).



First-principles (PBE) data for a geometry-optimized LiPa5 structure, as listed in Alexandria.

The value obtained for the energy of formation from the pure elements is 0.1559 eV/atom.

It has space group Cmmm (No. 65), with a = 5.4591 Å, b = 16.2160 Å, c = 3.1988 Å, α = 90.00°, β = 90.00° and γ = 90.00°. The distinct sites, in fractional coordinates, are Li at (0.0000, 0.0000, 0.0000), Pa at (0.0000, 0.1644, 0.5000), Pa at (0.0000, 0.3359, 0.0000) and Pa at (0.0000, 0.5000, 0.5000).



First-principles (PBE) data for a geometry-optimized BeReIr structure, as listed in Alexandria.

The value obtained for the energy of formation from the pure elements is -0.0137 eV/atom.

It has space group P4/nmm (No. 129, origin choice 2), with a = 3.6097 Å, b = 3.6097 Å, c = 6.1134 Å, α = 90.00°, β = 90.00° and γ = 90.00°. The distinct sites, in fractional coordinates, are Be at (0.2500, 0.2500, 0.2002), Re at (0.2500, 0.7500, 0.5000) and Ir at (0.2500, 0.2500, 0.8344).



First-principles (PBE) data for a geometry-optimized PmDySi2 structure, as listed in Alexandria.

The value obtained for the uncorrected formation energy is -490 meV per atom.

It has space group R-3m (No. 166, hexagonal axes), with a = 4.6396 Å, b = 4.6396 Å, c = 15.5586 Å, α = 90.00°, β = 90.00° and γ = 120.00°. The distinct sites, in fractional coordinates, are Pm at (0.0000, 0.0000, 0.0000), Dy at (0.0000, 0.0000, 0.5000) and Si at (0.0000, 0.0000, 0.2436).



First-principles (PBE) data for a geometry-optimized Dy2S3 structure, as listed in Alexandria.

The value obtained for the uncorrected formation energy is -2075 meV per atom.

It has space group Pnma (No. 62), with a = 10.6561 Å, b = 3.8749 Å, c = 10.4720 Å, α = 90.00°, β = 90.00° and γ = 90.00°. The distinct sites, in fractional coordinates, are Dy at (0.0100, 0.2500, 0.1868), Dy at (0.1921, 0.2500, 0.5038), S at (0.0457, 0.7500, 0.3734), S at (0.1194, 0.2500, 0.9445) and S at (0.2278, 0.7500, 0.6960).